Ac3Pr6Tm: optimized geometry, GGA-PBE.

abc: 10.257 10.257 7.347
angles: 45.73 45.73 60.00
Sites, in units of the cell vectors:
Pr 0.773 0.098 0.682
Ac 0.092 0.092 0.723
Pr 0.927 0.602 0.217
Pr 0.446 0.773 0.682
Pr 0.602 0.254 0.217
Ac 0.350 0.350 0.950
Pr 0.254 0.927 0.217
Ac 0.607 0.607 0.178
Tm 0.850 0.850 0.450
Pr 0.098 0.446 0.682

Output
E_form in eV/atom: 0.321
Space-group type: R-3